# 1
DFT (PBEsol) results for a relaxed structure of Na3IrOs.

Computed properties:
Formation energy   11.9 eV per formula unit

Unit cell a=5.3100 b=5.3100 c=5.3100 alpha=90.00 beta=90.00 gamma=90.00
With the nearest neighbours (Å) after each atom.
Space group Pm-3m (No. 221)
One atom of each set of equivalent atoms:
Na  0.0000  0.0000  0.5000 (multiplicity 3)  2 Os 2.65
Ir  0.5000  0.5000  0.5000 (multiplicity 1)  12 Na 3.75
Os  0.0000  0.0000  0.0000 (multiplicity 1)  6 Na 2.65


# 2
DFT (PBEsol) results for a relaxed structure of NaIr3Os.

Computed properties:
Formation energy   8.1 eV per formula unit

Unit cell a=4.7314 b=4.7314 c=4.7314 alpha=90.00 beta=90.00 gamma=90.00
With the nearest neighbours (Å) after each atom.
Space group Pm-3m (No. 221)
One atom of each set of equivalent atoms:
Na  0.0000  0.0000  0.0000 (multiplicity 1)  12 Ir 3.35
Ir  0.0000  0.5000  0.5000 (multiplicity 3)  2 Os 2.37
Os  0.5000  0.5000  0.5000 (multiplicity 1)  6 Ir 2.37


# 3
DFT (PBEsol) results for a relaxed structure of RbNa2IrOs.

Computed properties:
Formation energy   4.7 eV per formula unit

Unit cell a=5.5120 b=5.5120 c=4.6996 alpha=90.00 beta=90.00 gamma=90.00
With the nearest neighbours (Å) after each atom.
Space group P4/mmm (No. 123)
One atom of each set of equivalent atoms:
Rb  0.0000  0.0000  0.0000 (multiplicity 1)  8 Na 3.62, 4 Os 3.90
Na  0.0000  0.5000  0.5000 (multiplicity 2)  2 Ir 2.76
Ir  0.5000  0.5000  0.5000 (multiplicity 1)  2 Os 2.35
Os  0.5000  0.5000  0.0000 (multiplicity 1)  2 Ir 2.35


# 4
DFT (PBEsol) results for a relaxed structure of Na2PIr2.

Computed properties:
Formation energy   -1.1 eV per formula unit

Unit cell a=5.9149 b=5.9149 c=5.0317 alpha=90.00 beta=90.00 gamma=90.00
With the nearest neighbours (Å) after each atom.
Space group P4/mbm (No. 127)
One atom of each set of equivalent atoms:
Na  0.1694  0.3306  0.0000 (multiplicity 4)  5 Na 2.83-3.11, 6 Ir 2.93-3.15
P  0.0000  0.0000  0.5000 (multiplicity 2)  4 Ir 2.25
Ir  0.1505  0.6505  0.5000 (multiplicity 4)  2 P 2.25, 1 Ir 2.52


# 5
DFT (PBEsol) results for a relaxed structure of NaP2IrS.

Computed properties:
Energy   -5.22 eV/atom

Unit cell a=4.4424 b=4.4424 c=5.4142 alpha=90.00 beta=90.00 gamma=90.00
With the nearest neighbours (Å) after each atom.
Space group P4/mmm (No. 123)
One atom of each set of equivalent atoms:
Na  0.0000  0.0000  0.0000 (multiplicity 1)  4 S 3.14, 8 P 3.50
P  0.0000  0.5000  0.5000 (multiplicity 2)  2 Ir 2.22
Ir  0.5000  0.5000  0.5000 (multiplicity 1)  4 P 2.22
S  0.5000  0.5000  0.0000 (multiplicity 1)  2 Ir 2.71


# 6
DFT (PBEsol) results for a relaxed structure of NaTcP2Ir.

Computed properties:
Formation energy   11.2 eV per formula unit

Unit cell a=4.4823 b=4.4823 c=4.4603 alpha=90.00 beta=90.00 gamma=90.00
With the nearest neighbours (Å) after each atom.
Space group P4/mmm (No. 123)
One atom of each set of equivalent atoms:
Na  0.0000  0.0000  0.0000 (multiplicity 1)  2 Ir 2.23, 4 P 2.24
Tc  0.5000  0.5000  0.5000 (multiplicity 1)  8 P 3.16, 4 Ir 3.17
P  0.0000  0.5000  0.0000 (multiplicity 2)  2 Na 2.24
Ir  0.0000  0.0000  0.5000 (multiplicity 1)  2 Na 2.23


# 7
DFT (PBEsol) results for a relaxed structure of RbNa2IrPb.

Computed properties:
Formation energy   2.4 eV per formula unit

Unit cell a=5.8142 b=5.8142 c=5.0858 alpha=90.00 beta=90.00 gamma=90.00
With the nearest neighbours (Å) after each atom.
Space group P4/mmm (No. 123)
One atom of each set of equivalent atoms:
Rb  0.0000  0.0000  0.0000 (multiplicity 1)  8 Na 3.86, 4 Ir 4.11
Na  0.0000  0.5000  0.5000 (multiplicity 2)  2 Pb 2.91
Ir  0.5000  0.5000  0.0000 (multiplicity 1)  2 Pb 2.54
Pb  0.5000  0.5000  0.5000 (multiplicity 1)  2 Ir 2.54


# 8
DFT (PBEsol) results for a relaxed structure of Na2ZrIrPb.

Computed properties:
Formation energy   5.1 eV per formula unit

Unit cell a=5.0489 b=5.0489 c=5.1289 alpha=90.00 beta=90.00 gamma=90.00
With the nearest neighbours (Å) after each atom.
Space group P4/mmm (No. 123)
One atom of each set of equivalent atoms:
Na  0.0000  0.5000  0.0000 (multiplicity 2)  2 Ir 2.52
Zr  0.0000  0.0000  0.5000 (multiplicity 1)  4 Pb 3.57, 8 Na 3.60
Ir  0.5000  0.5000  0.0000 (multiplicity 1)  4 Na 2.52, 2 Pb 2.56
Pb  0.5000  0.5000  0.5000 (multiplicity 1)  2 Ir 2.56


# 9
DFT (PBEsol) results for a relaxed structure of NaIr3Pd.

Computed properties:
Formation energy   12.7 eV per formula unit

Unit cell a=4.3733 b=4.3733 c=4.3733 alpha=90.00 beta=90.00 gamma=90.00
With the nearest neighbours (Å) after each atom.
Space group Pm-3m (No. 221)
One atom of each set of equivalent atoms:
Na  0.0000  0.0000  0.0000 (multiplicity 1)  6 Ir 2.19
Ir  0.0000  0.0000  0.5000 (multiplicity 3)  2 Na 2.19
Pd  0.5000  0.5000  0.5000 (multiplicity 1)  12 Ir 3.09


# 10
DFT (PBEsol) results for a relaxed structure of NaIrPd2.

Computed properties:
Formation energy   3.0 eV per formula unit

Unit cell a=3.8955 b=3.8955 c=17.5660 alpha=90.00 beta=90.00 gamma=90.00
With the nearest neighbours (Å) after each atom.
Space group I-42d (No. 122)
One atom of each set of equivalent atoms:
Na  0.0000  0.0000  0.0000 (multiplicity 4)  4 Pd 2.62, 4 Ir 2.75
Ir  0.0000  0.0000  0.5000 (multiplicity 4)  4 Pd 2.57, 4 Na 2.75
Pd  0.2342  0.2500  0.6250 (multiplicity 8)  2 Ir 2.57, 2 Na 2.62, 4 Pd 2.67-2.84


# 11
DFT (PBEsol) results for a relaxed structure of NaSiIr2Pd.

Computed properties:
Energy   -4.39 eV/atom

Unit cell a=4.4293 b=4.4293 c=4.3214 alpha=90.00 beta=90.00 gamma=90.00
With the nearest neighbours (Å) after each atom.
Space group P4/mmm (No. 123)
One atom of each set of equivalent atoms:
Na  0.0000  0.0000  0.0000 (multiplicity 1)  2 Si 2.16, 4 Ir 2.21
Si  0.0000  0.0000  0.5000 (multiplicity 1)  2 Na 2.16
Ir  0.0000  0.5000  0.0000 (multiplicity 2)  2 Na 2.21
Pd  0.5000  0.5000  0.5000 (multiplicity 1)  8 Ir 3.09, 4 Si 3.13


# 12
DFT (PBEsol) results for a relaxed structure of NaIrPt2.

Computed properties:
Formation energy   3.0 eV per formula unit
Relative energy among the computed polymorphs   327 meV per atom

Unit cell a=4.8384 b=4.8384 c=16.7298 alpha=90.00 beta=90.00 gamma=90.00
With the nearest neighbours (Å) after each atom.
Space group I-42d (No. 122)
One atom of each set of equivalent atoms:
Na  0.0000  0.0000  0.0000 (multiplicity 4)  4 Pt 3.18, 4 Ir 3.42
Ir  0.0000  0.0000  0.5000 (multiplicity 4)  4 Pt 2.44
Pt  0.0721  0.2500  0.6250 (multiplicity 8)  2 Ir 2.44, 2 Pt 2.52


# 13
DFT (PBEsol) results for a relaxed structure of NaIrPt2.

Computed properties:
Formation energy   1.7 eV per formula unit
Relative energy among the computed polymorphs   0 meV per atom

Unit cell a=6.2498 b=6.2498 c=6.2498 alpha=90.00 beta=90.00 gamma=90.00
With the nearest neighbours (Å) after each atom.
Space group Fm-3m (No. 225)
One atom of each set of equivalent atoms:
Na  0.0000  0.0000  0.0000 (multiplicity 4)  8 Pt 2.71
Ir  0.0000  0.0000  0.5000 (multiplicity 4)  8 Pt 2.71
Pt  0.2500  0.2500  0.2500 (multiplicity 8)  4 Na 2.71, 4 Ir 2.71


# 14
DFT (PBEsol) results for a relaxed structure of Rb3NaIr.

Computed properties:
Formation energy   6.5 eV per formula unit

Unit cell a=6.4369 b=6.4369 c=6.4369 alpha=90.00 beta=90.00 gamma=90.00
With the nearest neighbours (Å) after each atom.
Space group Pm-3m (No. 221)
One atom of each set of equivalent atoms:
Rb  0.0000  0.0000  0.5000 (multiplicity 3)  2 Na 3.22
Na  0.0000  0.0000  0.0000 (multiplicity 1)  6 Rb 3.22
Ir  0.5000  0.5000  0.5000 (multiplicity 1)  12 Rb 4.55


# 15
DFT (PBEsol) results for a relaxed structure of RbNaTc2Ir.

Computed properties:
Formation energy   14.9 eV per formula unit

Unit cell a=4.6035 b=4.6035 c=4.5132 alpha=90.00 beta=90.00 gamma=90.00
With the nearest neighbours (Å) after each atom.
Space group P4/mmm (No. 123)
One atom of each set of equivalent atoms:
Rb  0.0000  0.0000  0.0000 (multiplicity 1)  2 Na 2.26, 4 Tc 2.30
Na  0.0000  0.0000  0.5000 (multiplicity 1)  2 Rb 2.26
Tc  0.0000  0.5000  0.0000 (multiplicity 2)  2 Rb 2.30
Ir  0.5000  0.5000  0.5000 (multiplicity 1)  8 Tc 3.22, 4 Na 3.26


# 16
DFT (PBEsol) results for a relaxed structure of Na2ReIr.

Computed properties:
Formation energy   6.1 eV per formula unit

Unit cell a=8.2193 b=8.2193 c=4.8434 alpha=90.00 beta=90.00 gamma=90.00
With the nearest neighbours (Å) after each atom.
Space group I-42d (No. 122)
One atom of each set of equivalent atoms:
Na  0.2224  0.2500  0.1250 (multiplicity 8)  2 Na 2.46
Re  0.0000  0.0000  0.5000 (multiplicity 4)  2 Ir 2.42
Ir  0.0000  0.0000  0.0000 (multiplicity 4)  2 Re 2.42


# 17
DFT (PBEsol) results for a relaxed structure of Na3ReIr.

Computed properties:
Formation energy   10.7 eV per formula unit

Unit cell a=5.2721 b=5.2721 c=5.2721 alpha=90.00 beta=90.00 gamma=90.00
With the nearest neighbours (Å) after each atom.
Space group Pm-3m (No. 221)
One atom of each set of equivalent atoms:
Na  0.0000  0.0000  0.5000 (multiplicity 3)  2 Ir 2.64
Re  0.5000  0.5000  0.5000 (multiplicity 1)  12 Na 3.73
Ir  0.0000  0.0000  0.0000 (multiplicity 1)  6 Na 2.64


# 18
DFT (PBEsol) results for a relaxed structure of NaIr3Rh.

Computed properties:
Formation energy   13.0 eV per formula unit

Unit cell a=4.3251 b=4.3251 c=4.3251 alpha=90.00 beta=90.00 gamma=90.00
With the nearest neighbours (Å) after each atom.
Space group Pm-3m (No. 221)
One atom of each set of equivalent atoms:
Na  0.0000  0.0000  0.0000 (multiplicity 1)  6 Ir 2.16
Ir  0.0000  0.0000  0.5000 (multiplicity 3)  2 Na 2.16
Rh  0.5000  0.5000  0.5000 (multiplicity 1)  12 Ir 3.06


# 19
DFT (PBEsol) results for a relaxed structure of Na2IrRh.

Computed properties:
Formation energy   4.4 eV per formula unit

Unit cell a=6.3747 b=6.3747 c=6.3747 alpha=90.00 beta=90.00 gamma=90.00
With the nearest neighbours (Å) after each atom.
Space group Fm-3m (No. 225)
One atom of each set of equivalent atoms:
Na  0.2500  0.2500  0.2500 (multiplicity 8)  4 Ir 2.76, 4 Rh 2.76
Ir  0.0000  0.0000  0.0000 (multiplicity 4)  8 Na 2.76
Rh  0.0000  0.0000  0.5000 (multiplicity 4)  8 Na 2.76


# 20
DFT (PBEsol) results for a relaxed structure of NaIr2Rh.

Computed properties:
Formation energy   2.9 eV per formula unit

Unit cell a=6.1292 b=6.1292 c=6.1292 alpha=90.00 beta=90.00 gamma=90.00
With the nearest neighbours (Å) after each atom.
Space group Fm-3m (No. 225)
One atom of each set of equivalent atoms:
Na  0.0000  0.0000  0.0000 (multiplicity 4)  8 Ir 2.65
Ir  0.2500  0.2500  0.2500 (multiplicity 8)  4 Na 2.65, 4 Rh 2.65
Rh  0.0000  0.0000  0.5000 (multiplicity 4)  8 Ir 2.65